Record 1
# K2AuI

K2AuI after structural relaxation (PBE-GGA, Alexandria via LeMat-Bulk).

## Properties
The density of states at the Fermi level comes out at 0.00 states/eV/cell. For the uncorrected energy, the calculation gives -2.59 eV per atom. As for the mass density: 4.575 g cm⁻³. Its space-group type is Fm-3m. The distance to the lowest polymorph of the same formula is 0.145 eV per formula unit. As for the calculated volume: 36.48 Å³ per atom. Its formation energy without anion corrections is -0.832 eV per atom.

a = 8.357 Å, b = 8.357 Å, c = 8.357 Å
α = 90.00°, β = 90.00°, γ = 90.00°
Fractional positions:
K1 0.250 0.250 0.250
K2 0.250 0.250 0.750
K3 0.250 0.750 0.250
K4 0.250 0.750 0.750
K5 0.750 0.250 0.250
K6 0.750 0.250 0.750
K7 0.750 0.750 0.250
K8 0.750 0.750 0.750
Au1 0.000 0.000 0.000
Au2 0.000 0.500 0.500
Au3 0.500 0.000 0.500
Au4 0.500 0.500 0.000
I1 0.000 0.000 0.500
I2 0.000 0.500 0.000
I3 0.500 0.000 0.000
I4 0.500 0.500 0.500


Record 2
# K6AuI

K6AuI after structural relaxation (PBE-GGA, Alexandria via LeMat-Bulk).

## Properties
The density of states at the Fermi level comes out at 8.84 states/eV/cell. For the uncorrected energy, the calculation gives -1.83 eV per atom. As for the mass density: 1.936 g cm⁻³. Its space-group type is C2/m. As for the calculated volume: 59.87 Å³ per atom. Its formation energy without anion corrections is -0.399 eV per atom.

a = 8.395 Å, b = 14.468 Å, c = 8.410 Å
α = 90.00°, β = 110.31°, γ = 90.00°
Fractional positions:
K1 0.237 0.169 0.234
K2 0.237 0.831 0.234
K3 0.242 0.000 0.756
K4 0.258 0.500 0.244
K5 0.263 0.331 0.766
K6 0.263 0.669 0.766
K7 0.737 0.331 0.234
K8 0.737 0.669 0.234
K9 0.742 0.500 0.756
K10 0.758 0.000 0.244
K11 0.763 0.169 0.766
K12 0.763 0.831 0.766
Au1 0.000 0.000 0.000
Au2 0.500 0.500 0.000
I1 0.000 0.500 0.500
I2 0.500 0.000 0.500


Record 3
# KAu3I

KAu3I after structural relaxation (PBE-GGA, Alexandria via LeMat-Bulk).

## Properties
The density of states at the Fermi level comes out at 2.50 states/eV/cell. For the uncorrected energy, the calculation gives -2.19 eV per atom. As for the mass density: 7.111 g cm⁻³. Its space-group type is Pm-3m. The distance to the lowest polymorph of the same formula is 0.000 eV per formula unit. As for the calculated volume: 35.35 Å³ per atom. Its formation energy without anion corrections is 0.302 eV per atom.

a = 5.612 Å, b = 5.612 Å, c = 5.612 Å
α = 90.00°, β = 90.00°, γ = 90.00°
Fractional positions:
K1 0.000 0.000 0.000
Au1 0.000 0.500 0.500
Au2 0.500 0.000 0.500
Au3 0.500 0.500 0.000
I1 0.500 0.500 0.500


Record 4
# K3Au3I8

K3Au3I8 after structural relaxation (PBE-GGA, Alexandria via LeMat-Bulk).

## Properties
For the uncorrected energy, the calculation gives -2.50 eV per atom. As for the mass density: 4.902 g cm⁻³. Its space-group type is C2/c. As for the calculated volume: 41.70 Å³ per atom. Its formation energy without anion corrections is -0.680 eV per atom.

a = 7.715 Å, b = 7.715 Å, c = 21.290 Å
α = 94.04°, β = 94.04°, γ = 67.62°
Fractional positions:
K1 0.022 0.978 0.750
K2 0.248 0.365 0.403
K3 0.365 0.248 0.903
K4 0.635 0.752 0.097
K5 0.752 0.635 0.597
K6 0.978 0.022 0.250
Au1 0.000 0.000 0.000
Au2 0.000 0.000 0.500
Au3 0.367 0.446 0.198
Au4 0.446 0.367 0.698
Au5 0.554 0.633 0.302
Au6 0.633 0.554 0.802
I1 0.050 0.537 0.254
I2 0.126 0.742 0.090
I3 0.168 0.224 0.552
I4 0.224 0.168 0.052
I5 0.258 0.874 0.410
I6 0.297 0.665 0.631
I7 0.335 0.703 0.869
I8 0.463 0.950 0.246
I9 0.537 0.050 0.754
I10 0.665 0.297 0.131
I11 0.703 0.335 0.369
I12 0.742 0.126 0.590
I13 0.776 0.832 0.948
I14 0.832 0.776 0.448
I15 0.874 0.258 0.910
I16 0.950 0.463 0.746


Record 5
# KAu3I6

KAu3I6 after structural relaxation (PBE-GGA, Alexandria via LeMat-Bulk).

## Properties
The density of states at the Fermi level comes out at 2.86 states/eV/cell. For the uncorrected energy, the calculation gives -2.29 eV per atom. As for the mass density: 5.269 g cm⁻³. Its space-group type is Ibam. As for the calculated volume: 43.85 Å³ per atom. Its formation energy without anion corrections is -0.267 eV per atom.

a = 10.845 Å, b = 10.845 Å, c = 10.845 Å
α = 121.15°, β = 87.03°, γ = 122.30°
Fractional positions:
K1 0.250 0.250 0.000
K2 0.750 0.750 0.000
Au1 0.201 0.610 0.812
Au2 0.250 0.750 0.500
Au3 0.299 0.110 0.409
Au4 0.701 0.890 0.591
Au5 0.750 0.250 0.500
Au6 0.799 0.390 0.188
I1 0.103 0.540 0.201
I2 0.154 0.984 0.137
I3 0.161 0.960 0.563
I4 0.339 0.902 0.799
I5 0.346 0.484 0.830
I6 0.397 0.598 0.437
I7 0.603 0.402 0.563
I8 0.654 0.516 0.170
I9 0.661 0.098 0.201
I10 0.839 0.040 0.437
I11 0.846 0.016 0.863
I12 0.897 0.460 0.799


Record 6
# K2AuI5

K2AuI5 after structural relaxation (PBE-GGA, Alexandria via LeMat-Bulk).

## Properties
For the uncorrected energy, the calculation gives -2.42 eV per atom. As for the mass density: 4.208 g cm⁻³. Its space-group type is Cm. The distance to the lowest polymorph of the same formula is 0.000 eV per formula unit. As for the calculated volume: 44.87 Å³ per atom. Its formation energy without anion corrections is -0.765 eV per atom.

a = 10.686 Å, b = 9.353 Å, c = 8.390 Å
α = 90.00°, β = 121.12°, γ = 90.00°
Fractional positions:
K1 0.000 0.000 0.000
K2 0.009 0.500 0.693
K3 0.500 0.500 0.000
K4 0.509 0.000 0.693
Au1 0.254 0.500 0.346
Au2 0.754 0.000 0.346
I1 0.246 0.295 0.569
I2 0.246 0.705 0.569
I3 0.253 0.000 0.845
I4 0.263 0.295 0.123
I5 0.263 0.705 0.123
I6 0.746 0.205 0.569
I7 0.746 0.795 0.569
I8 0.753 0.500 0.845
I9 0.763 0.205 0.123
I10 0.763 0.795 0.123


Record 7
# KAu2I6

KAu2I6 after structural relaxation (PBE-GGA, Alexandria via LeMat-Bulk).

## Properties
The density of states at the Fermi level comes out at 6.42 states/eV/cell. For the uncorrected energy, the calculation gives -2.18 eV per atom. As for the mass density: 4.516 g cm⁻³. Its space-group type is C2/c. As for the calculated volume: 48.80 Å³ per atom. Its formation energy without anion corrections is -0.300 eV per atom.

a = 10.490 Å, b = 10.490 Å, c = 10.106 Å
α = 117.24°, β = 117.24°, γ = 75.97°
Fractional positions:
K1 0.171 0.829 0.750
K2 0.829 0.171 0.250
Au1 0.270 0.349 0.305
Au2 0.349 0.270 0.805
Au3 0.651 0.730 0.195
Au4 0.730 0.651 0.695
I1 0.096 0.151 0.658
I2 0.151 0.096 0.158
I3 0.259 0.410 0.598
I4 0.303 0.628 0.417
I5 0.372 0.697 0.083
I6 0.410 0.259 0.098
I7 0.590 0.741 0.902
I8 0.628 0.303 0.917
I9 0.697 0.372 0.583
I10 0.741 0.590 0.402
I11 0.849 0.904 0.842
I12 0.904 0.849 0.342


Record 8
# K2AuI

K2AuI after structural relaxation (PBE-GGA, Alexandria via LeMat-Bulk).

## Properties
For the uncorrected energy, the calculation gives -2.62 eV per atom. As for the mass density: 4.273 g cm⁻³. Its space-group type is P2_1/m. The distance to the lowest polymorph of the same formula is 0.000 eV per formula unit. As for the calculated volume: 39.06 Å³ per atom. Its formation energy without anion corrections is -0.869 eV per atom.

a = 6.831 Å, b = 5.015 Å, c = 9.343 Å
α = 90.00°, β = 102.51°, γ = 90.00°
Fractional positions:
K1 0.175 0.250 0.145
K2 0.300 0.250 0.687
K3 0.700 0.750 0.313
K4 0.825 0.750 0.855
Au1 0.375 0.750 0.964
Au2 0.625 0.250 0.036
I1 0.224 0.750 0.404
I2 0.776 0.250 0.596